Entry 1:
A relaxed TaSnI2O crystal, computed with PBE-GGA.

Results
ΔE to the lowest computed polymorph, meV per atom: 0
E, eV per atom: -5.238
M_tot, μB/f.u.: 0.77
DOS(E_F), states/eV/f.u.: 4.19
Formation energy from raw total energies, eV/atom: -0.46

a b c (Å): 5.850 5.850 3.895
angles (deg): 90.00 90.00 90.00
Fractional coordinates of all 5 atoms:
I: 0.000 0.500 0.000
I: 0.500 0.000 0.000
Sn: 0.500 0.500 0.500
O: 0.000 0.000 0.500
Ta: 0.000 0.000 0.000

---

Entry 2:
A relaxed PrGaSn crystal, computed with PBE-GGA.

Results
E, eV per atom: -4.264
Formation enthalpy at 0 K, eV/atom: -0.327
M_tot, μB/f.u.: 0.00
DOS(E_F), states/eV/f.u.: 1.56

a b c (Å): 4.383 4.383 5.397
angles (deg): 113.96 113.96 90.00
Fractional coordinates of all 3 atoms:
Pr: 0.622 0.622 0.244
Sn: 0.269 0.269 0.538
Ga: 0.959 0.959 0.918

---

Entry 3:
A relaxed LaYSc2Ti crystal, computed with PBE-GGA.

Results
E, eV per atom: -5.635
Formation enthalpy at 0 K, eV/atom: 0.754
M_tot, μB/f.u.: 0.44
DOS(E_F), states/eV/f.u.: 7.12

a b c (Å): 5.258 4.982 5.258
angles (deg): 90.00 90.00 90.00
Fractional coordinates of all 5 atoms:
Y: 0.500 0.500 0.500
Sc: 0.000 0.000 0.500
Sc: 0.500 0.000 0.000
Ti: 0.000 0.500 0.000
La: 0.000 0.000 0.000